1.
# Al2WBr

A crystal of Al2WBr relaxed with PBEsol (meta-GGA SCAN, Alexandria via LeMat-Bulk).

## Properties
Symmetry ... No. 119
Calculated total energy ... -25.16 eV/atom
Calculated volume ... 134.29 Å³/cell
E_form (uncorrected) ... 1004 meV/atom

Geometry as POSCAR:
```
Al2WBr
1.0
4.1318 0.0000 0.0000
0.0000 4.1318 0.0000
0.0000 0.0000 7.8662
Al W Br
4 2 2
direct
0.0000 0.0000 0.0000 Al
0.0000 0.5000 0.2500 Al
0.5000 0.0000 0.7500 Al
0.5000 0.5000 0.5000 Al
0.0000 0.5000 0.7500 W
0.5000 0.0000 0.2500 W
0.0000 0.0000 0.5000 Br
0.5000 0.5000 0.0000 Br
```

2.
# AlWBr2

A crystal of AlWBr2 relaxed with PBEsol (meta-GGA SCAN, Alexandria via LeMat-Bulk).

## Properties
Symmetry ... No. 119
Calculated total energy ... -27.77 eV/atom
Calculated volume ... 148.47 Å³/cell
E_form (uncorrected) ... 1325 meV/atom

Geometry as POSCAR:
```
AlWBr2
1.0
4.2169 0.0000 0.0000
0.0000 4.2169 0.0000
0.0000 0.0000 8.3492
Al W Br
2 2 4
direct
0.0000 0.0000 0.0000 Al
0.5000 0.5000 0.5000 Al
0.0000 0.5000 0.7500 W
0.5000 0.0000 0.2500 W
0.0000 0.0000 0.5000 Br
0.0000 0.5000 0.2500 Br
0.5000 0.0000 0.7500 Br
0.5000 0.5000 0.0000 Br
```

3.
# Al2WBr

A crystal of Al2WBr relaxed with PBEsol (meta-GGA SCAN, Alexandria via LeMat-Bulk).

## Properties
Symmetry ... No. 25
Calculated total energy ... -25.48 eV/atom
Calculated volume ... 71.19 Å³/cell
E_form (uncorrected) ... 679 meV/atom

Geometry as POSCAR:
```
Al2WBr
1.0
2.9158 0.0000 0.0000
0.0000 4.4803 0.0000
0.0000 0.0000 5.4491
Al W Br
2 1 1
direct
0.0000 0.0000 0.0000 Al
0.5000 0.5000 0.3276 Al
0.5000 0.5000 0.8568 W
0.0000 0.0000 0.4905 Br
```

4.
# AlW2Br

A crystal of AlW2Br relaxed with PBEsol (meta-GGA SCAN, Alexandria via LeMat-Bulk).

## Properties
Symmetry ... No. 71
Calculated total energy ... -40.66 eV/atom
Calculated volume ... 133.65 Å³/cell
E_form (uncorrected) ... 988 meV/atom

Geometry as POSCAR:
```
AlW2Br
1.0
2.8475 0.0000 0.0000
0.0000 4.9500 0.0000
0.0000 0.0000 9.4820
Al W Br
2 4 2
direct
0.0000 0.0000 0.0000 Al
0.5000 0.5000 0.5000 Al
0.0000 0.5000 0.2501 W
0.0000 0.5000 0.7499 W
0.5000 0.0000 0.2499 W
0.5000 0.0000 0.7501 W
0.0000 0.0000 0.5000 Br
0.5000 0.5000 0.0000 Br
```

5.
# AlW4Br

A crystal of AlW4Br relaxed with PBEsol (meta-GGA SCAN, Alexandria via LeMat-Bulk).

## Properties
Symmetry ... No. 216
Calculated total energy ... -49.89 eV/atom
Calculated volume ... 104.87 Å³/cell
E_form (uncorrected) ... 1100 meV/atom

Geometry as POSCAR:
```
AlW4Br
1.0
0.0000 3.7429 3.7429
3.7429 0.0000 3.7429
3.7429 3.7429 0.0000
Al W Br
1 4 1
direct
0.0000 0.0000 0.0000 Al
0.1278 0.6241 0.6241 W
0.6241 0.1278 0.6241 W
0.6241 0.6241 0.1278 W
0.6241 0.6241 0.6241 W
0.2500 0.2500 0.2500 Br
```

6.
# AlWBr2

A crystal of AlWBr2 relaxed with PBEsol (meta-GGA SCAN, Alexandria via LeMat-Bulk).

## Properties
Symmetry ... No. 122
Calculated total energy ... -28.46 eV/atom
Calculated volume ... 395.88 Å³/cell
E_form (uncorrected) ... 632 meV/atom

Geometry as POSCAR:
```
AlWBr2
1.0
8.7306 0.0000 0.0000
0.0000 8.7306 0.0000
0.0000 0.0000 5.1937
Al W Br
4 4 8
direct
0.0000 0.0000 0.0000 Al
0.0000 0.5000 0.2500 Al
0.5000 0.0000 0.7500 Al
0.5000 0.5000 0.5000 Al
0.0000 0.0000 0.5000 W
0.0000 0.5000 0.7500 W
0.5000 0.0000 0.2500 W
0.5000 0.5000 0.0000 W
0.1184 0.2500 0.6250 Br
0.2500 0.6184 0.8750 Br
0.2500 0.8816 0.3750 Br
0.3816 0.2500 0.1250 Br
0.6184 0.7500 0.1250 Br
0.7500 0.1184 0.3750 Br
0.7500 0.3816 0.8750 Br
0.8816 0.7500 0.6250 Br
```

7.
# Al2WBr

A crystal of Al2WBr relaxed with PBEsol (meta-GGA SCAN, Alexandria via LeMat-Bulk).

## Properties
Symmetry ... No. 12
Calculated total energy ... -25.48 eV/atom
Calculated volume ... 135.28 Å³/cell
E_form (uncorrected) ... 680 meV/atom

Geometry as POSCAR:
```
Al2WBr
1.0
9.8217 0.0000 0.0000
0.0000 2.9001 0.0000
-0.5862 0.0000 4.7494
Al W Br
4 2 2
direct
0.2309 0.0000 0.2320 Al
0.2691 0.5000 0.7680 Al
0.7309 0.5000 0.2320 Al
0.7691 0.0000 0.7680 Al
0.0000 0.5000 0.0000 W
0.5000 0.0000 0.0000 W
0.0000 0.0000 0.5000 Br
0.5000 0.5000 0.5000 Br
```

8.
# AlW2Br

A crystal of AlW2Br relaxed with PBEsol (meta-GGA SCAN, Alexandria via LeMat-Bulk).

## Properties
Symmetry ... No. 166
Calculated total energy ... -40.90 eV/atom
Calculated volume ... 193.25 Å³/cell
E_form (uncorrected) ... 749 meV/atom

Geometry as POSCAR:
```
AlW2Br
1.0
2.8951 0.0000 0.0000
-1.4475 2.5072 0.0000
0.0000 0.0000 26.6242
Al W Br
3 6 3
direct
0.0000 0.0000 0.0000 Al
0.3333 0.6667 0.6667 Al
0.6667 0.3333 0.3333 Al
0.0000 0.0000 0.2499 W
0.0000 0.0000 0.7501 W
0.3333 0.6667 0.4168 W
0.3333 0.6667 0.9165 W
0.6667 0.3333 0.0835 W
0.6667 0.3333 0.5832 W
0.0000 0.0000 0.5000 Br
0.3333 0.6667 0.1667 Br
0.6667 0.3333 0.8333 Br
```

Which of these has the lowest calculated volume? number 3